1.
PaTaSe3, optimized geometry, DFT GGA-PBE; space group = P2_1/m (11); energy relative to the elements, uncorrected = -95 kJ per mole of atoms; density of states at the Fermi level = 0.7486 states/eV/atom
1.0
-3.594 0.754 0.560
-1.106 -7.161 2.547
1.463 1.153 7.832
Pa Se Ta
2 6 2
direct
0.183 0.817 0.991 Pa
0.683 0.043 0.416 Pa
0.683 0.066 0.791 Se
0.183 0.140 0.139 Se
0.683 0.520 0.919 Se
0.683 0.721 0.267 Se
0.183 0.340 0.487 Se
0.183 0.795 0.615 Se
0.183 0.318 0.816 Ta
0.683 0.542 0.591 Ta

=====

2.
CsNbC3, optimized geometry, DFT GGA-PBE; space group = Pm-3m (221); ΔE_f = 1745 meV/atom; density of states at the Fermi level = 0.4024 states/eV/atom
1.0
-0.857 -4.082 -1.455
3.608 -1.493 2.064
-2.399 -0.788 3.624
Nb Cs C
1 1 3
direct
0.000 0.000 0.000 Nb
0.500 0.500 0.500 Cs
0.000 0.500 0.000 C
0.000 0.000 0.500 C
0.500 0.000 0.000 C

=====

3.
LiY2Sn2, optimized geometry, DFT GGA-PBE; space group = P4/mbm (127); ΔE_f = -427 meV/atom; density of states at the Fermi level = 0.5994 states/eV/atom
1.0
9.001 0.000 0.000
0.000 9.001 0.000
0.000 0.000 3.506
Y Li Sn
4 2 4
direct
0.867 0.633 0.000 Y
0.133 0.367 0.000 Y
0.633 0.133 0.000 Y
0.367 0.867 0.000 Y
0.000 0.000 0.000 Li
0.500 0.500 0.000 Li
0.331 0.169 0.500 Sn
0.669 0.831 0.500 Sn
0.831 0.331 0.500 Sn
0.169 0.669 0.500 Sn

=====

Repeat the third record exactly.
LiY2Sn2, optimized geometry, DFT GGA-PBE; space group = P4/mbm (127); ΔE_f = -427 meV/atom; density of states at the Fermi level = 0.5994 states/eV/atom
1.0
9.001 0.000 0.000
0.000 9.001 0.000
0.000 0.000 3.506
Y Li Sn
4 2 4
direct
0.867 0.633 0.000 Y
0.133 0.367 0.000 Y
0.633 0.133 0.000 Y
0.367 0.867 0.000 Y
0.000 0.000 0.000 Li
0.500 0.500 0.000 Li
0.331 0.169 0.500 Sn
0.669 0.831 0.500 Sn
0.831 0.331 0.500 Sn
0.169 0.669 0.500 Sn

=====

- What is the density of states at the Fermi level in the third record?
  0.5994 states/eV/atom